1.
Crystalline Tc2SnHg at its relaxed geometry. Source: OQMD via LeMat-Bulk, functional PBE.

The energy comes out at -89.30 eV for the cell shown. The magnetic moment comes out at 2.66 μB per cell.

It has space group F-43m (No. 216), with a = 6.5811 Å, b = 6.5811 Å, c = 6.5811 Å, α = 90.00°, β = 90.00° and γ = 90.00°. Symmetry generates all atoms from Tc at (0.0000, 0.0000, 0.0000), Tc at (0.2500, 0.2500, 0.2500), Sn at (0.0000, 0.0000, 0.5000) and Hg at (0.2500, 0.2500, 0.7500).

2.
Crystalline TcSnHg2 at its relaxed geometry. Source: OQMD via LeMat-Bulk, functional PBE.

The energy comes out at -49.45 eV for the cell shown. The magnetic moment comes out at 7.30 μB per cell.

It has space group F-43m (No. 216), with a = 6.9506 Å, b = 6.9506 Å, c = 6.9506 Å, α = 90.00°, β = 90.00° and γ = 90.00°. Symmetry generates all atoms from Tc at (0.0000, 0.0000, 0.0000), Sn at (0.2500, 0.2500, 0.7500), Hg at (0.0000, 0.0000, 0.5000) and Hg at (0.2500, 0.2500, 0.2500).

3.
Crystalline TcSnHg at its relaxed geometry. Source: OQMD via LeMat-Bulk, functional PBE.

The energy comes out at -52.25 eV for the cell shown. The magnetic moment comes out at 0.48 μB per cell.

It has space group F-43m (No. 216), with a = 6.4346 Å, b = 6.4346 Å, c = 6.4346 Å, α = 90.00°, β = 90.00° and γ = 90.00°. Symmetry generates all atoms from Tc at (0.0000, 0.0000, 0.0000), Sn at (0.2500, 0.2500, 0.7500) and Hg at (0.2500, 0.2500, 0.2500).

4.
Crystalline SnHgTe2 at its relaxed geometry. Source: OQMD via LeMat-Bulk, functional PBE.

The energy comes out at -40.11 eV for the cell shown.

It has space group F-43m (No. 216), with a = 7.6895 Å, b = 7.6895 Å, c = 7.6895 Å, α = 90.00°, β = 90.00° and γ = 90.00°. Symmetry generates all atoms from Sn at (0.0000, 0.0000, 0.0000), Hg at (0.2500, 0.2500, 0.2500), Te at (0.0000, 0.0000, 0.5000) and Te at (0.2500, 0.2500, 0.7500).